(1)
# MgNiS | the Alexandria database | GGA-PBE | relaxed
# DOS(E_F)	1.53	states/eV per cell
# uncorrected energy	-4.42	eV per atom
# total magnetic moment	0.0	μB/cell
# ρ	4.3	g/cm³
data_MgNiS
_chemical_formula_sum 'Mg2 Ni2 S2'
_space_group_name_H-M_alt 'A m m 2'
_space_group_IT_number 38
_cell_length_a 3.6161
_cell_length_b 3.5686
_cell_length_c 6.8957
_cell_angle_alpha 90.00
_cell_angle_beta 90.00
_cell_angle_gamma 90.00
loop_
_space_group_symop_operation_xyz
'x,y,z'
'-x,-y,z'
'-x,y,z'
'x,-y,z'
'x,y+1/2,z+1/2'
'-x,-y+1/2,z+1/2'
'-x,y+1/2,z+1/2'
'x,-y+1/2,z+1/2'
loop_
_atom_site_label
_atom_site_fract_x
_atom_site_fract_y
_atom_site_fract_z
_atom_site_occupancy
Mg1 0.0000 0.0000 0.0000 1
Ni1 0.5000 0.0000 0.6676 1
S1 0.5000 0.0000 0.3558 1

***

(2)
# MgNiS | the Alexandria database | GGA-PBE | relaxed
# DOS(E_F)	1.13	states/eV per cell
# uncorrected energy	-4.37	eV per atom
# total magnetic moment	0.0	μB/cell
# ρ	4.0	g/cm³
data_MgNiS
_chemical_formula_sum 'Mg2 Ni2 S2'
_space_group_name_H-M_alt 'P 1'
_space_group_IT_number 1
_cell_length_a 3.5689
_cell_length_b 4.1929
_cell_length_c 7.2508
_cell_angle_alpha 78.39
_cell_angle_beta 75.77
_cell_angle_gamma 64.97
loop_
_space_group_symop_operation_xyz
'x,y,z'
loop_
_atom_site_label
_atom_site_fract_x
_atom_site_fract_y
_atom_site_fract_z
_atom_site_occupancy
Mg1 0.0000 0.0000 0.0000 1
Mg2 0.0366 0.4965 0.4272 1
Ni1 0.2661 0.8717 0.5945 1
Ni2 0.5025 0.2554 0.7421 1
S1 0.4050 0.9241 0.2650 1
S2 0.7742 0.6675 0.7827 1

***

(3)
# MgNiS | the Alexandria database | GGA-PBE | relaxed
# DOS(E_F)	5.45	states/eV per cell
# uncorrected energy	-4.39	eV per atom
# total magnetic moment	0.0	μB/cell
# ρ	4.0	g/cm³
data_MgNiS
_chemical_formula_sum 'Mg4 Ni4 S4'
_space_group_name_H-M_alt 'C 1 m 1'
_space_group_IT_number 8
_cell_length_a 6.8909
_cell_length_b 3.9919
_cell_length_c 7.1903
_cell_angle_alpha 90.00
_cell_angle_beta 102.32
_cell_angle_gamma 90.00
loop_
_space_group_symop_operation_xyz
'x,y,z'
'x,-y,z'
'x+1/2,y+1/2,z'
'x+1/2,-y+1/2,z'
loop_
_atom_site_label
_atom_site_fract_x
_atom_site_fract_y
_atom_site_fract_z
_atom_site_occupancy
Mg1 0.0000 0.0000 0.0000 1
Mg2 0.2383 0.0000 0.5932 1
Ni1 0.0419 0.5000 0.4645 1
Ni2 0.3541 0.5000 0.3226 1
S1 0.1255 0.5000 0.7825 1
S2 0.3596 0.0000 0.1830 1

***

(4)
# MgNiS2 | the Alexandria database | GGA-PBE | relaxed
# DOS(E_F)	20.32	states/eV per cell
# uncorrected energy	-4.27	eV per atom
# total magnetic moment	0.0	μB/cell
# ρ	3.0	g/cm³
data_MgNiS2
_chemical_formula_sum 'Mg3 Ni3 S6'
_space_group_name_H-M_alt 'R -3 m'
_space_group_IT_number 166
_space_group_name_Hall '-R 3 2"'
_cell_length_a 3.6732
_cell_length_b 3.6732
_cell_length_c 21.1617
_cell_angle_alpha 90.00
_cell_angle_beta 90.00
_cell_angle_gamma 120.00
loop_
_atom_site_label
_atom_site_fract_x
_atom_site_fract_y
_atom_site_fract_z
_atom_site_occupancy
Mg1 0.0000 0.0000 0.0000 1
Ni1 0.0000 0.0000 0.5000 1
S1 0.0000 0.0000 0.4020 1

***

(5)
# MgNiS | the Alexandria database | GGA-PBE | relaxed
# DOS(E_F)	13.62	states/eV per cell
# uncorrected energy	-4.37	eV per atom
# total magnetic moment	2.3	μB/cell
# ρ	3.9	g/cm³
data_MgNiS
_chemical_formula_sum 'Mg6 Ni6 S6'
_space_group_name_H-M_alt 'R 3 m'
_space_group_IT_number 160
_space_group_name_Hall 'R 3 -2"'
_cell_length_a 3.6135
_cell_length_b 3.6135
_cell_length_c 25.7712
_cell_angle_alpha 90.00
_cell_angle_beta 90.00
_cell_angle_gamma 120.00
loop_
_atom_site_label
_atom_site_fract_x
_atom_site_fract_y
_atom_site_fract_z
_atom_site_occupancy
Mg1 0.0000 0.0000 0.0000 1
Mg2 0.0000 0.0000 0.2149 1
Ni1 0.0000 0.0000 0.1128 1
Ni2 0.0000 0.0000 0.4016 1
S1 0.0000 0.0000 0.6021 1
S2 0.0000 0.0000 0.8120 1

***

(6)
# MgNiS | the Alexandria database | GGA-PBE | relaxed
# DOS(E_F)	2.07	states/eV per cell
# uncorrected energy	-4.36	eV per atom
# total magnetic moment	0.0	μB/cell
# ρ	4.1	g/cm³
data_MgNiS
_chemical_formula_sum 'Mg2 Ni2 S2'
_space_group_name_H-M_alt 'P 1'
_space_group_IT_number 1
_cell_length_a 3.7148
_cell_length_b 3.8101
_cell_length_c 7.7280
_cell_angle_alpha 103.08
_cell_angle_beta 90.08
_cell_angle_gamma 119.15
loop_
_space_group_symop_operation_xyz
'x,y,z'
loop_
_atom_site_label
_atom_site_fract_x
_atom_site_fract_y
_atom_site_fract_z
_atom_site_occupancy
Mg1 0.0000 0.0000 0.0000 1
Mg2 0.1537 0.3044 0.4688 1
Ni1 0.4253 0.8492 0.2633 1
Ni2 0.5814 0.1632 0.7471 1
S1 0.2684 0.5377 0.7932 1
S2 0.7412 0.4806 0.2366 1

***

(7)
# MgNiS | the Alexandria database | GGA-PBE | relaxed
# DOS(E_F)	1.00	states/eV per cell
# uncorrected energy	-4.37	eV per atom
# total magnetic moment	0.0	μB/cell
# ρ	4.2	g/cm³
data_MgNiS
_chemical_formula_sum 'Mg2 Ni2 S2'
_space_group_name_H-M_alt 'P -1'
_space_group_IT_number 2
_cell_length_a 3.5649
_cell_length_b 3.9137
_cell_length_c 7.3635
_cell_angle_alpha 97.59
_cell_angle_beta 90.04
_cell_angle_gamma 117.09
loop_
_space_group_symop_operation_xyz
'x,y,z'
'-x,-y,-z'
loop_
_atom_site_label
_atom_site_fract_x
_atom_site_fract_y
_atom_site_fract_z
_atom_site_occupancy
Mg1 0.0000 0.0000 0.0000 1
Mg2 0.0000 0.0000 0.5000 1
Ni1 0.3367 0.6755 0.2437 1
S1 0.3536 0.7052 0.7447 1

***

(8)
# MgNiS | the Alexandria database | GGA-PBE | relaxed
# DOS(E_F)	2.31	states/eV per cell
# uncorrected energy	-4.43	eV per atom
# total magnetic moment	0.0	μB/cell
# ρ	3.8	g/cm³
data_MgNiS
_chemical_formula_sum 'Mg2 Ni2 S2'
_space_group_name_H-M_alt 'P 1'
_space_group_IT_number 1
_cell_length_a 3.9447
_cell_length_b 4.8530
_cell_length_c 6.1122
_cell_angle_alpha 74.95
_cell_angle_beta 71.20
_cell_angle_gamma 66.22
loop_
_space_group_symop_operation_xyz
'x,y,z'
loop_
_atom_site_label
_atom_site_fract_x
_atom_site_fract_y
_atom_site_fract_z
_atom_site_occupancy
Mg1 0.0000 0.0000 0.0000 1
Mg2 0.1526 0.2748 0.4216 1
Ni1 0.5532 0.1787 0.7163 1
Ni2 0.8192 0.5698 0.7972 1
S1 0.2839 0.4505 0.9851 1
S2 0.8290 0.8989 0.4419 1

***

(9)
# MgNiS | the Alexandria database | GGA-PBE | relaxed
# DOS(E_F)	2.26	states/eV per cell
# uncorrected energy	-4.37	eV per atom
# total magnetic moment	0.0	μB/cell
# ρ	4.1	g/cm³
data_MgNiS
_chemical_formula_sum 'Mg4 Ni4 S4'
_space_group_name_H-M_alt 'C 1 m 1'
_space_group_IT_number 8
_cell_length_a 6.9208
_cell_length_b 3.6200
_cell_length_c 7.4424
_cell_angle_alpha 90.00
_cell_angle_beta 90.19
_cell_angle_gamma 90.00
loop_
_space_group_symop_operation_xyz
'x,y,z'
'x,-y,z'
'x+1/2,y+1/2,z'
'x+1/2,-y+1/2,z'
loop_
_atom_site_label
_atom_site_fract_x
_atom_site_fract_y
_atom_site_fract_z
_atom_site_occupancy
Mg1 0.0000 0.0000 0.0000 1
Mg2 0.1017 0.0000 0.4993 1
Ni1 0.1385 0.5000 0.2249 1
Ni2 0.4651 0.0000 0.7249 1
S1 0.2769 0.5000 0.7224 1
S2 0.3267 0.0000 0.2234 1

***

(10)
# MgNiS | the Alexandria database | GGA-PBE | relaxed
# DOS(E_F)	1.56	states/eV per cell
# uncorrected energy	-4.37	eV per atom
# total magnetic moment	0.0	μB/cell
# ρ	4.0	g/cm³
data_MgNiS
_chemical_formula_sum 'Mg4 Ni4 S4'
_space_group_name_H-M_alt 'C 1 m 1'
_space_group_IT_number 8
_cell_length_a 7.3389
_cell_length_b 3.6040
_cell_length_c 7.8309
_cell_angle_alpha 90.00
_cell_angle_beta 114.09
_cell_angle_gamma 90.00
loop_
_space_group_symop_operation_xyz
'x,y,z'
'x,-y,z'
'x+1/2,y+1/2,z'
'x+1/2,-y+1/2,z'
loop_
_atom_site_label
_atom_site_fract_x
_atom_site_fract_y
_atom_site_fract_z
_atom_site_occupancy
Mg1 0.0000 0.0000 0.0000 1
Mg2 0.0996 0.5000 0.5872 1
Ni1 0.2182 0.0000 0.4096 1
Ni2 0.4371 0.0000 0.2278 1
S1 0.2392 0.5000 0.2285 1
S2 0.3543 0.0000 0.7347 1

***

(11)
# MgNiS | the Alexandria database | GGA-PBE | relaxed
# DOS(E_F)	9.14	states/eV per cell
# uncorrected energy	-4.22	eV per atom
# total magnetic moment	0.0	μB/cell
# ρ	4.0	g/cm³
data_MgNiS
_chemical_formula_sum 'Mg4 Ni4 S4'
_space_group_name_H-M_alt 'P n m a'
_space_group_IT_number 62
_cell_length_a 5.6368
_cell_length_b 3.5371
_cell_length_c 9.5502
_cell_angle_alpha 90.00
_cell_angle_beta 90.00
_cell_angle_gamma 90.00
loop_
_space_group_symop_operation_xyz
'x,y,z'
'-x,-y,-z'
'-x+1/2,-y,z+1/2'
'x+1/2,y,-z+1/2'
'x+1/2,-y+1/2,-z+1/2'
'-x+1/2,y+1/2,z+1/2'
'-x,y+1/2,-z'
'x,-y+1/2,z'
loop_
_atom_site_label
_atom_site_fract_x
_atom_site_fract_y
_atom_site_fract_z
_atom_site_occupancy
Mg1 0.1082 0.2500 0.1327 1
Ni1 0.1561 0.2500 0.4599 1
S1 0.0265 0.7500 0.3374 1

***

(12)
# MgNiS | the Alexandria database | GGA-PBE | relaxed
# DOS(E_F)	0.00	states/eV per cell
# uncorrected energy	-4.45	eV per atom
# total magnetic moment	0.0	μB/cell
# ρ	3.5	g/cm³
data_MgNiS
_chemical_formula_sum 'Mg2 Ni2 S2'
_space_group_name_H-M_alt 'P 1'
_space_group_IT_number 1
_cell_length_a 4.0567
_cell_length_b 4.0762
_cell_length_c 7.1359
_cell_angle_alpha 100.50
_cell_angle_beta 102.53
_cell_angle_gamma 104.57
loop_
_space_group_symop_operation_xyz
'x,y,z'
loop_
_atom_site_label
_atom_site_fract_x
_atom_site_fract_y
_atom_site_fract_z
_atom_site_occupancy
Mg1 0.0000 0.0000 0.0000 1
Mg2 0.2919 0.2895 0.5553 1
Ni1 0.0574 0.6631 0.2880 1
Ni2 0.6510 0.0737 0.2917 1
S1 0.3882 0.8826 0.7775 1
S2 0.5067 0.5224 0.2502 1